Compound: ErMnAs2O8
Source: Alexandria
Functional: PBE+U
Structure: optimized geometry

Its crystal system is tetragonal. The spin magnetization comes out at 7.9 μB per cell. The calculation puts the density of states at the Fermi level at 0.5756 states/eV/atom. The calculation puts the final energy at -6.8334 eV/atom.

The structure belongs to space group I-4m2 (No. 119); the cell edges are 6.9496, 6.9496 and 6.3394 Å and the angles 90.00°, 90.00° and 90.00°. Symmetry generates all atoms from Er at (0.0000, 0.0000, 0.0000), Mn at (0.0000, 0.5000, 0.7500), As at (0.0000, 0.0000, 0.5000), As at (0.0000, 0.5000, 0.2500), O at (0.0000, 0.1860, 0.6814) and O at (0.0000, 0.3162, 0.0703).